(1)
VASP calculation (PBE) on Pm2DyTl2Hg2 after structural relaxation.

Values from the calculation:
ΔH_f (0 K) ... -188 meV/atom
Crystal system ... trigonal
DOS(E_F) ... 3.77 states/eV/f.u.

a = 5.0160 Å, b = 5.0160 Å, c = 26.9573 Å
α = 90.00°, β = 90.00°, γ = 120.00°
Space group R-3m (No. 166, hexagonal axes)
Asymmetric unit:
Pm (0.0000, 0.0000, 0.1330) [6 per cell]
Dy (0.0000, 0.0000, 0.0000) [3 per cell]
Tl (0.0000, 0.0000, 0.2766) [6 per cell]
Hg (0.0000, 0.0000, 0.4302) [6 per cell]

(2)
VASP calculation (PBE) on Pb4SF5 after structural relaxation.

Values from the calculation:
E ... -4.5721 eV/atom
Crystal system ... monoclinic
DOS(E_F) ... 3.86 states/eV/f.u.

a = 15.296 Å, b = 4.107 Å, c = 7.659 Å
α = 90.00°, β = 117.94°, γ = 90.00°
Space group C2/m (No. 12)
Asymmetric unit:
Pb (0.006, 0.000, 0.234) [4 per cell]
Pb (0.219, 0.500, 0.724) [4 per cell]
S (0.000, 0.500, 0.500) [2 per cell]
F (0.000, 0.500, 0.000) [2 per cell]
F (0.177, 0.000, 0.877) [4 per cell]
F (0.184, 0.000, 0.501) [4 per cell]

(3)
VASP calculation (PBE) on Y4InGaAg2 after structural relaxation.

Values from the calculation:
ΔH_f (0 K) ... -460 meV/atom
Crystal system ... trigonal
DOS(E_F) ... 5.19 states/eV/f.u.

a = 5.1962 Å, b = 5.1962 Å, c = 25.3673 Å
α = 90.00°, β = 90.00°, γ = 120.00°
Space group R-3m (No. 166, hexagonal axes)
Asymmetric unit:
Y (0.0000, 0.0000, 0.1211) [6 per cell]
Y (0.0000, 0.0000, 0.3714) [6 per cell]
In (0.0000, 0.0000, 0.5000) [3 per cell]
Ga (0.0000, 0.0000, 0.0000) [3 per cell]
Ag (0.0000, 0.0000, 0.2464) [6 per cell]